The following is a PBE-GGA calculation of a relaxed structure of NiWC3, from Alexandria via LeMat-Bulk.

Structure (CIF):
```
data_NiWC3
_cell_length_a 3.6708
_cell_length_b 3.6708
_cell_length_c 3.6708
_cell_angle_alpha 90.00
_cell_angle_beta 90.00
_cell_angle_gamma 90.00
_symmetry_space_group_name_H-M 'P 1'
_symmetry_Int_Tables_number 1
loop_
_symmetry_equiv_pos_as_xyz
'x,y,z'
loop_
_atom_site_label
_atom_site_fract_x
_atom_site_fract_y
_atom_site_fract_z
Ni1 0.0000 0.0000 0.0000
C1 0.0000 0.5000 0.0000
C2 0.0000 0.0000 0.5000
C3 0.5000 0.0000 0.0000
W1 0.5000 0.5000 0.5000
```

Results
Its energy above the most stable polymorph in this dataset is 0.212 eV per atom. The theoretical density is 9.35 g/cm³. The density of states at the Fermi level comes out at 4.1 states/eV/f.u. The calculation puts the formation energy at 2.33 eV/atom. The symmetry is Pm-3m, No. 221. The magnetization is 0.00 μB per cell.

---

The following is a PBE-GGA calculation of a relaxed structure of DyFe4Mo, from Alexandria via LeMat-Bulk.

Structure (CIF):
```
data_DyFe4Mo
_cell_length_a 4.9322
_cell_length_b 4.9322
_cell_length_c 4.9322
_cell_angle_alpha 60.00
_cell_angle_beta 60.00
_cell_angle_gamma 60.00
_symmetry_space_group_name_H-M 'P 1'
_symmetry_Int_Tables_number 1
loop_
_symmetry_equiv_pos_as_xyz
'x,y,z'
loop_
_atom_site_label
_atom_site_fract_x
_atom_site_fract_y
_atom_site_fract_z
Mo1 0.2500 0.2500 0.2500
Fe1 0.6241 0.6241 0.1278
Fe2 0.6241 0.1278 0.6241
Fe3 0.6241 0.6241 0.6241
Fe4 0.1278 0.6241 0.6241
Dy1 0.0000 0.0000 0.0000
```

Results
The theoretical density is 9.43 g/cm³. The density of states at the Fermi level comes out at 8.0 states/eV/f.u. The calculation puts the formation energy at 0.10 eV/atom. The symmetry is F-43m, No. 216. The magnetization is 6.04 μB per cell.

---

The following is a PBE-GGA calculation of a relaxed structure of CaPrGePd, from Alexandria via LeMat-Bulk.

Structure (CIF):
```
data_CaPrGePd
_cell_length_a 5.1379
_cell_length_b 5.1379
_cell_length_c 5.1379
_cell_angle_alpha 60.00
_cell_angle_beta 60.00
_cell_angle_gamma 60.00
_symmetry_space_group_name_H-M 'P 1'
_symmetry_Int_Tables_number 1
loop_
_symmetry_equiv_pos_as_xyz
'x,y,z'
loop_
_atom_site_label
_atom_site_fract_x
_atom_site_fract_y
_atom_site_fract_z
Pr1 0.5000 0.5000 0.5000
Ge1 0.2500 0.2500 0.2500
Ca1 0.0000 0.0000 0.0000
Pd1 0.7500 0.7500 0.7500
```

Results
The theoretical density is 6.23 g/cm³. The density of states at the Fermi level comes out at 2.2 states/eV/f.u. The calculation puts the formation energy at -0.69 eV/atom. The symmetry is F-43m, No. 216. The magnetization is 0.00 μB per cell.

---

The following is a PBE-GGA calculation of a relaxed structure of Li3Hg3Pd, from Alexandria via LeMat-Bulk.

Structure (CIF):
```
data_Li3Hg3Pd
_cell_length_a 6.2945
_cell_length_b 6.2945
_cell_length_c 6.9517
_cell_angle_alpha 90.01
_cell_angle_beta 90.01
_cell_angle_gamma 86.43
_symmetry_space_group_name_H-M 'P 1'
_symmetry_Int_Tables_number 1
loop_
_symmetry_equiv_pos_as_xyz
'x,y,z'
loop_
_atom_site_label
_atom_site_fract_x
_atom_site_fract_y
_atom_site_fract_z
Li1 0.2392 0.2392 0.5079
Li2 0.2705 0.7295 0.5000
Li3 0.7295 0.2705 0.5000
Li4 0.3155 0.6845 0.0000
Li5 0.6845 0.3155 0.0000
Li6 0.7608 0.7608 0.4921
Hg1 0.9981 0.9981 0.7575
Hg2 0.4977 0.0052 0.2590
Hg3 0.0052 0.4977 0.2590
Hg4 0.5023 0.9948 0.7410
Hg5 0.9948 0.5023 0.7410
Hg6 0.0019 0.0019 0.2425
Pd1 0.2523 0.2523 0.9947
Pd2 0.7477 0.7477 0.0053
```

Results
Its energy above the most stable polymorph in this dataset is 0.000 eV per atom. The theoretical density is 8.81 g/cm³. The density of states at the Fermi level comes out at 1.5 states/eV/f.u. The calculation puts the formation energy at -0.26 eV/atom. The symmetry is C2/m, No. 12. The magnetization is 0.00 μB per cell.

---

> Look up the magnetization of the second one.

6.04 μB per cell

---

> What is the theoretical density in the third record?

6.23 g/cm³

---

> What is the formula in the third record?

CaPrGePd